Record 1
The following is a PBE calculation of crystalline TbTm4Au5 at its relaxed geometry, from Alexandria.

Output
ρ (kg/m3): 13354
Formation energy from the elements (kJ/mol of atoms): -85
Volume (A^3/atom): 22.63
Symmetry: P4/mmm
Calculated total energy (eV/atom): -4.775

Geometry as POSCAR:
```
TbTm4Au5
1.0
3.537 0.000 0.000
0.000 3.537 0.000
0.000 0.000 18.087
Tm Au Tb
4 5 1
Cartesian
0.000 0.000 3.655
0.000 0.000 10.840
0.000 0.000 14.432
0.000 0.000 7.247
1.768 1.768 9.044
1.768 1.768 1.896
1.768 1.768 5.452
1.768 1.768 16.191
1.768 1.768 12.635
0.000 0.000 0.000
```

=====

Record 2
The following is a PBE calculation of crystalline Tb2TmAu6 at its relaxed geometry, from Alexandria.

Output
ρ (kg/m3): 14361
Formation energy from the elements (kJ/mol of atoms): -77
Volume (A^3/atom): 21.44
Symmetry: C2/m
Calculated total energy (eV/atom): -4.510

Geometry as POSCAR:
```
Tb2TmAu6
1.0
-3.188 2.665 3.248
-0.625 -1.552 4.982
5.875 3.903 4.725
Au Tb Tm
6 2 1
Cartesian
-1.961 2.121 5.976
2.111 5.200 7.446
1.688 2.311 5.070
-0.049 -0.184 5.508
0.373 2.706 7.885
4.023 2.896 6.978
2.760 3.276 9.705
-0.698 1.741 3.249
2.937 1.952 2.363
```

=====

Record 3
The following is a PBE calculation of crystalline TbTmAu at its relaxed geometry, from Alexandria.

Output
ρ (kg/m3): 11122
Formation energy from the elements (kJ/mol of atoms): -53
Excess energy over the best structure of this formula in the dataset (meV per atom): 106.0
Volume (A^3/atom): 26.12
Symmetry: I4mm
Calculated total energy (eV/atom): -4.671

Geometry as POSCAR:
```
TbTmAu
1.0
-2.851 0.211 -2.147
0.678 -3.291 -1.223
-2.425 -0.830 6.114
Tb Tm Au
1 1 1
Cartesian
-1.773 -2.004 -0.819
-2.160 -1.458 2.724
-4.209 -3.648 2.253
```

=====

Record 4
The following is a PBE calculation of crystalline TbTmAu4 at its relaxed geometry, from Alexandria.

Output
ρ (kg/m3): 14683
Formation energy from the elements (kJ/mol of atoms): -84
Excess energy over the best structure of this formula in the dataset (meV per atom): 3.0
Volume (A^3/atom): 21.03
Symmetry: Cmmm
Calculated total energy (eV/atom): -4.569

Geometry as POSCAR:
```
TbTmAu4
1.0
5.069 -0.096 1.332
0.160 5.266 -0.231
1.338 0.180 5.065
Au Tb Tm
4 1 1
Cartesian
2.975 5.369 4.433
3.760 5.218 1.487
1.800 2.723 3.456
4.773 2.598 2.696
3.955 2.750 5.609
0.833 5.341 2.294
```

=====

Record 5
The following is a PBE calculation of crystalline Tb3Tm4Au4 at its relaxed geometry, from Alexandria.

Output
ρ (kg/m3): 11302
Formation energy from the elements (kJ/mol of atoms): -57
Volume (A^3/atom): 25.92
Symmetry: Immm
Calculated total energy (eV/atom): -4.670

Geometry as POSCAR:
```
Tb3Tm4Au4
1.0
4.791 0.000 0.000
0.000 7.674 0.000
-2.396 -3.837 7.754
Tb Au Tm
3 4 4
Cartesian
0.000 0.000 1.606
2.396 3.837 6.147
0.000 3.837 0.000
0.000 3.837 3.198
2.396 6.223 0.000
2.396 0.000 4.556
2.396 1.451 0.000
0.000 1.634 5.072
2.396 2.203 2.682
0.000 -1.634 5.072
2.396 5.471 2.682
```

=====

Record 6
The following is a PBE calculation of crystalline TbTmAu4 at its relaxed geometry, from Alexandria.

Output
ρ (kg/m3): 14672
Formation energy from the elements (kJ/mol of atoms): -84
Excess energy over the best structure of this formula in the dataset (meV per atom): 0.0
Volume (A^3/atom): 21.05
Symmetry: P4/mmm
Calculated total energy (eV/atom): -4.572

Geometry as POSCAR:
```
TbTmAu4
1.0
3.733 0.000 0.000
0.000 3.733 0.000
0.000 0.000 9.060
Au Tm Tb
4 1 1
Cartesian
1.866 1.866 7.542
1.867 1.867 1.518
3.733 3.733 5.998
0.000 0.000 3.062
1.866 1.866 4.530
0.000 0.000 0.000
```